First-principles (PBE-GGA) data for Er4Ga12Au after structural relaxation, as listed in Alexandria via LeMat-Bulk.

Output
SG: No. 229
Calculated formation energy (eV/atom): -0.5226
Magnetization (μB per cell): 0.00

```
data_Er4Ga12Au
_cell_length_a 7.486
_cell_length_b 7.486
_cell_length_c 7.486
_cell_angle_alpha 109.47
_cell_angle_beta 109.47
_cell_angle_gamma 109.47
_symmetry_space_group_name_H-M 'P 1'
_symmetry_Int_Tables_number 1
loop_
_symmetry_equiv_pos_as_xyz
'x,y,z'
loop_
_atom_site_label
_atom_site_fract_x
_atom_site_fract_y
_atom_site_fract_z
_atom_site_occupancy
Ga1 0.000 0.696 0.696 1
Er1 0.000 0.000 0.500 1
Er2 0.500 0.000 0.000 1
Ga2 0.750 0.250 0.500 1
Er3 0.000 0.500 0.000 1
Er4 0.500 0.500 0.500 1
Ga3 0.304 0.000 0.304 1
Ga4 0.250 0.750 0.500 1
Ga5 0.500 0.750 0.250 1
Ga6 0.000 0.304 0.304 1
Ga7 0.696 0.696 0.000 1
Ga8 0.696 0.000 0.696 1
Ga9 0.750 0.500 0.250 1
Au1 0.000 0.000 0.000 1
Ga10 0.304 0.304 0.000 1
Ga11 0.500 0.250 0.750 1
Ga12 0.250 0.500 0.750 1
```